DFT (GGA+U) results for crystalline ZnWN2F at its relaxed geometry.

```
ZnWN2F
1.0
-0.683 -1.904 -3.381
-1.733 -2.922 1.996
-3.289 1.737 -0.313
W N Zn F
1 2 1 1
Direct
0.500 0.500 0.500 W
0.000 0.500 0.000 N
0.500 0.000 0.000 N
0.000 0.000 0.000 Zn
0.000 0.000 0.500 F
```

Computed properties:
E_tot   -23.282 eV/f.u.
Total moment   0.42 μB per atom
Space-group type   P4/mmm (123)